KMgSb2: relaxed, PBE-GGA.

It has space group Pmmm (No. 47), with a = 4.0012 Å, b = 4.0644 Å, c = 7.5319 Å, α = 90.00°, β = 90.00° and γ = 90.00°. The asymmetric unit holds K at (0.0000, 0.0000, 0.0000), Mg at (0.0000, 0.0000, 0.5000) and Sb at (0.5000, 0.5000, 0.3142).

The total magnetization is 0.00 μB per formula unit. Its energy relative to the elements, uncorrected is -26 kJ per mole of atoms. The uncorrected energy comes out at -3.01 eV per atom.



K2MgSb: relaxed, PBE-GGA.

It has space group I-42d (No. 122), with a = 4.8765 Å, b = 4.8765 Å, c = 24.6586 Å, α = 90.00°, β = 90.00° and γ = 90.00°. The asymmetric unit holds K at (0.2396, 0.2500, 0.1250), Mg at (0.0000, 0.0000, 0.5000) and Sb at (0.0000, 0.0000, 0.0000).

The total magnetization is 0.00 μB per formula unit. Its energy relative to the elements, uncorrected is 9 kJ per mole of atoms. The uncorrected energy comes out at -1.89 eV per atom.



KMg4Sb: relaxed, PBE-GGA.

It has space group F-43m (No. 216), with a = 8.7331 Å, b = 8.7331 Å, c = 8.7331 Å, α = 90.00°, β = 90.00° and γ = 90.00°. The asymmetric unit holds K at (0.0000, 0.0000, 0.0000), Mg at (0.1237, 0.1237, 0.6237) and Sb at (0.2500, 0.2500, 0.2500).

The total magnetization is 0.00 μB per formula unit. Its energy relative to the elements, uncorrected is 8 kJ per mole of atoms. The uncorrected energy comes out at -1.85 eV per atom.



K2MgSb: relaxed, PBE-GGA.

It has space group Pm (No. 6), with a = 5.5301 Å, b = 4.8381 Å, c = 6.9983 Å, α = 90.00°, β = 113.21° and γ = 90.00°. The asymmetric unit holds K at (0.0000, 0.0000, 0.0000), K at (0.2904, 0.5000, 0.5824), Mg at (0.6903, 0.0000, 0.3781) and Sb at (0.5784, 0.5000, 0.1611).

The total magnetization is 0.69 μB per formula unit. Its energy relative to the elements, uncorrected is -23 kJ per mole of atoms. The uncorrected energy comes out at -2.22 eV per atom.